Fe3Ir2Rh2 (PBE-GGA, optimized geometry); Fermi-level density of states = 9.241 states/eV/f.u.; total energy = -56.4 eV per cell
1.0
-2.014 -3.110 1.886
2.588 -0.812 -3.155
5.655 1.670 4.205
Fe Ir Rh
3 2 2
Direct
0.000 0.000 0.000 Fe
0.494 0.246 0.742 Fe
0.506 0.754 0.258 Fe
0.751 0.376 0.127 Ir
0.249 0.624 0.873 Ir
0.253 0.127 0.380 Rh
0.747 0.873 0.620 Rh